{
  "formula": "YTl3Cr",
  "functional": "GGA-PBE",
  "state": "optimized geometry",
  "lattice_angstrom": [[5.769, 0.000, 0.000], [0.000, 5.769, 0.000], [0.000, 0.000, 5.769]],
  "species": ["Tl", "Tl", "Tl", "Y", "Cr"],
  "frac_coords": [[0.000, 0.500, 0.000], [0.000, 0.000, 0.500], [0.500, 0.000, 0.000], [0.000, 0.000, 0.000], [0.500, 0.500, 0.500]],
  "relative_energy_kj_per_mol_atoms": 109.50,
  "e_form_ev_per_atom": 1.526,
  "rho_g_cm3": 6.5,
  "magnetic_moment_mub_per_atom": 0.3083,
  "e_tot_ev_per_atom": -3.111
}